Entry 1:
Cs2DyBr6, relaxed, DFT GGA-PBE; uncorrected formation energy = -146 kJ/mol of atoms; space-group type = P-62m, No. 189
1.0
4.590 0.000 0.000
0.000 9.118 0.000
0.000 -4.559 7.896
Br Dy Cs
6 1 2
Cartesian
0.000 -1.506 2.608 Br
0.000 3.053 5.289 Br
0.000 3.011 0.000 Br
2.295 7.105 0.000 Br
2.295 1.006 1.743 Br
2.295 -3.553 6.153 Br
0.000 0.000 0.000 Dy
2.295 4.559 2.632 Cs
2.295 0.000 5.264 Cs

Entry 2:
Cs5Dy2Br12, relaxed, DFT GGA-PBE; uncorrected formation energy = -161 kJ/mol of atoms; space-group type = C2/m, No. 12
1.0
-1.053 8.739 -5.169
-5.368 7.079 5.624
6.436 7.408 3.775
Br Cs Dy
12 5 2
Cartesian
2.030 16.370 1.481 Br
0.792 14.312 7.604 Br
4.020 10.139 3.786 Br
-0.777 8.913 -3.375 Br
-4.006 13.086 0.444 Br
-2.367 16.247 2.170 Br
-0.294 12.672 0.381 Br
-2.015 6.855 2.749 Br
0.309 10.553 3.849 Br
3.232 13.288 -0.690 Br
-3.217 9.937 4.919 Br
2.382 6.978 2.060 Br
-0.527 4.369 -2.585 Cs
-0.219 19.200 2.022 Cs
-0.149 9.190 0.687 Cs
0.164 14.036 3.542 Cs
0.233 4.025 2.207 Cs
-3.111 7.142 5.270 Dy
4.179 7.345 4.128 Dy

Entry 3:
CsDy2Br7, relaxed, DFT GGA-PBE; uncorrected formation energy = -177 kJ/mol of atoms; space-group type = Cmmm, No. 65
1.0
-2.556 -0.337 -4.999
7.658 -0.144 -3.906
-3.364 -7.590 2.233
Cs Br Dy
1 7 2
Cartesian
0.000 0.000 0.000 Cs
0.654 -7.498 -2.993 Br
0.869 -4.036 -3.336 Br
-0.086 -5.375 0.407 Br
1.083 -0.574 -3.679 Br
-2.024 -2.673 -1.949 Br
4.379 -2.359 -2.080 Br
3.761 -5.399 -4.723 Br
-1.301 -5.502 -2.127 Dy
3.039 -2.570 -4.545 Dy

What did the third record say?
CsDy2Br7, relaxed, DFT GGA-PBE; uncorrected formation energy = -177 kJ/mol of atoms; space-group type = Cmmm, No. 65
1.0
-2.556 -0.337 -4.999
7.658 -0.144 -3.906
-3.364 -7.590 2.233
Cs Br Dy
1 7 2
Cartesian
0.000 0.000 0.000 Cs
0.654 -7.498 -2.993 Br
0.869 -4.036 -3.336 Br
-0.086 -5.375 0.407 Br
1.083 -0.574 -3.679 Br
-2.024 -2.673 -1.949 Br
4.379 -2.359 -2.080 Br
3.761 -5.399 -4.723 Br
-1.301 -5.502 -2.127 Dy
3.039 -2.570 -4.545 Dy